TbHo2Mg3AgAu2, optimized geometry, DFT PBE-GGA; space group = Amm2 (38); density = 8.56 g/cm³; crystal system = orthorhombic; size of the total moment = 0.017 μB per formula unit; calculated total energy = -3.64 eV per atom
1.0
-0.606 1.012 -3.807
-6.754 -3.771 0.072
0.288 7.482 1.944
Ag Au Ho Mg Tb
1 2 2 3 1
Cartesian
-6.460 3.708 2.014
-4.722 0.475 -1.209
-2.358 4.253 -0.580
-3.962 -2.212 0.042
0.169 4.390 1.140
-6.980 -1.392 -1.346
-5.155 3.291 -0.391
-1.703 7.040 0.057
-2.672 1.534 0.833